Density functional theory data (SCAN) for a crystal of Ag3P2O8 relaxed with PBEsol.

Theoretical density: 4.55 g/cm3
Final energy: -14.010 eV per atom
Magnetization: 0.000 μB/f.u.
Energy relative to the elements, uncorrected: -17.38 eV/f.u.

a b c (Å): 5.758 5.758 5.758
angles (deg): 83.64 83.64 83.64
Fractional coordinates of all 13 atoms:
Ag 0.007 0.725 0.268
Ag 0.268 0.007 0.725
Ag 0.725 0.268 0.007
P 0.231 0.231 0.231
P 0.773 0.773 0.773
O 0.008 0.387 0.149
O 0.149 0.008 0.387
O 0.367 0.367 0.367
O 0.387 0.149 0.008
O 0.609 0.638 0.955
O 0.638 0.955 0.609
O 0.924 0.924 0.924
O 0.955 0.609 0.638

=====

Density functional theory data (SCAN) for a crystal of SrTlZn relaxed with PBEsol.

Theoretical density: 6.05 g/cm3
Final energy: -35.873 eV per atom
Magnetization: 0.000 μB/f.u.
Formation energy: 0.5 eV per formula unit

a b c (Å): 5.178 5.178 5.178
angles (deg): 60.00 60.00 60.00
Fractional coordinates of all 3 atoms:
Sr 0.000 0.000 0.000
Tl 0.750 0.750 0.750
Zn 0.250 0.250 0.250

=====

Density functional theory data (SCAN) for a crystal of InCoNi2Os relaxed with PBEsol.

Theoretical density: 9.07 g/cm3
Final energy: -29.716 eV per atom
Magnetization: 1.351 μB/f.u.
Formation energy: 6.3 eV per formula unit

a b c (Å): 4.489 4.489 4.373
angles (deg): 90.00 90.00 90.00
Fractional coordinates of all 5 atoms:
In 0.000 0.000 0.000
Co 0.500 0.500 0.000
Ni 0.000 0.500 0.500
Ni 0.500 0.000 0.500
Os 0.500 0.500 0.500

=====

Density functional theory data (SCAN) for a crystal of Li2TlAs2 relaxed with PBEsol.

Theoretical density: 5.94 g/cm3
Final energy: -23.874 eV per atom
Magnetization: 0.000 μB/f.u.
Formation energy: -1.8 eV per formula unit

a b c (Å): 6.007 6.007 6.007
angles (deg): 136.08 136.08 63.85
Fractional coordinates of all 5 atoms:
Li 0.250 0.750 0.500
Li 0.750 0.250 0.500
Tl 0.000 0.000 0.000
As 0.385 0.385 0.000
As 0.615 0.615 0.000

=====

Density functional theory data (SCAN) for a crystal of ZnTcNi2 relaxed with PBEsol.

Theoretical density: 9.73 g/cm3
Final energy: -20.158 eV per atom
Magnetization: 0.001 μB/f.u.
Formation energy: 0.3 eV per formula unit

a b c (Å): 4.358 4.358 4.592
angles (deg): 97.29 97.29 33.68
Fractional coordinates of all 4 atoms:
Zn 0.000 0.000 0.000
Tc 0.500 0.500 0.500
Ni 0.250 0.250 0.741
Ni 0.750 0.750 0.259

=====

Density functional theory data (SCAN) for a crystal of FeOsRh2 relaxed with PBEsol.

Theoretical density: 14.42 g/cm3
Final energy: -39.409 eV per atom
Magnetization: 2.809 μB/f.u.
Formation energy: -0.1 eV per formula unit

a b c (Å): 4.598 4.598 4.598
angles (deg): 132.38 132.38 69.64
Fractional coordinates of all 4 atoms:
Fe 0.000 0.000 0.000
Os 0.500 0.500 0.000
Rh 0.250 0.750 0.500
Rh 0.750 0.250 0.500

=====

Density functional theory data (SCAN) for a crystal of NaLa2RuF relaxed with PBEsol.

Theoretical density: 5.33 g/cm3
Final energy: -26.150 eV per atom
Magnetization: 0.000 μB/f.u.
Energy relative to the elements, uncorrected: -1.96 eV/f.u.

a b c (Å): 5.373 5.373 4.539
angles (deg): 90.00 90.00 90.00
Fractional coordinates of all 5 atoms:
Na 0.000 0.000 0.000
La 0.000 0.500 0.500
La 0.500 0.000 0.500
Ru 0.500 0.500 0.500
F 0.500 0.500 0.000

=====

Density functional theory data (SCAN) for a crystal of Zr2AlAgMo relaxed with PBEsol.

Theoretical density: 5.77 g/cm3
Final energy: -25.853 eV per atom
Magnetization: 1.943 μB/f.u.
Formation energy: 6.1 eV per formula unit

a b c (Å): 4.999 4.999 4.760
angles (deg): 90.00 90.00 90.00
Fractional coordinates of all 5 atoms:
Zr 0.000 0.500 0.000
Zr 0.500 0.000 0.000
Al 0.000 0.000 0.500
Ag 0.500 0.500 0.000
Mo 0.500 0.500 0.500

=====

- Which formula does entry 6 have?
  FeOsRh2

=====

Please write out number 3 again, unchanged.
Density functional theory data (SCAN) for a crystal of InCoNi2Os relaxed with PBEsol.

Theoretical density: 9.07 g/cm3
Final energy: -29.716 eV per atom
Magnetization: 1.351 μB/f.u.
Formation energy: 6.3 eV per formula unit

a b c (Å): 4.489 4.489 4.373
angles (deg): 90.00 90.00 90.00
Fractional coordinates of all 5 atoms:
In 0.000 0.000 0.000
Co 0.500 0.500 0.000
Ni 0.000 0.500 0.500
Ni 0.500 0.000 0.500
Os 0.500 0.500 0.500